A relaxed structure of Nd7Ho3Th, computed with PBE.

abc: 19.294 7.217 12.618
angles: 90.00 116.58 90.00
Space group C2/c (No. 15)
Asymmetric unit:
Nd  0.000  0.231  0.250 [4 per cell]
Nd  0.164  0.248  0.023 [8 per cell]
Nd  0.164  0.496  0.775 [8 per cell]
Nd  0.166  0.245  0.527 [8 per cell]
Ho  0.000  0.500  0.000 [4 per cell]
Ho  0.167  0.002  0.272 [8 per cell]
Th  0.000  0.000  0.000 [4 per cell]

Calculated values
* ΔH_f (0 K): 2.137 eV per formula unit

A relaxed structure of NdHo2Th, computed with PBE.

abc: 3.5881 3.5881 34.6484
angles: 90.00 90.00 120.00
Space group R-3m (No. 166, hexagonal axes)
Asymmetric unit:
Nd  0.0000  0.0000  0.0000 [3 per cell]
Ho  0.0000  0.0000  0.2476 [6 per cell]
Th  0.0000  0.0000  0.5000 [3 per cell]

Calculated values
* ΔH_f (0 K): 0.058 eV per formula unit
* offset from the most stable computed form: 1 meV per atom

A relaxed structure of NdHo2Th3, computed with PBE.

abc: 17.523 7.138 6.209
angles: 90.00 90.02 90.00
Space group C2/c (No. 15)
Asymmetric unit:
Nd  0.000  0.131  0.250 [4 per cell]
Ho  0.169  0.127  0.584 [8 per cell]
Th  0.000  0.380  0.750 [4 per cell]
Th  0.166  0.380  0.081 [8 per cell]

Calculated values
* ΔH_f (0 K): 0.307 eV per formula unit

A relaxed structure of Nd4Ho3Th2, computed with PBE.

abc: 3.5864 3.5864 27.0729
angles: 90.00 90.00 120.00
Space group P3m1 (No. 156)
Asymmetric unit:
Nd  0.0000  0.0000  0.0000 [1 per cell]
Nd  0.0000  0.0000  0.2144 [1 per cell]
Nd  0.3333  0.6667  0.3298 [1 per cell]
Nd  0.3333  0.6667  0.5468 [1 per cell]
Ho  0.0000  0.0000  0.4371 [1 per cell]
Ho  0.3333  0.6667  0.1064 [1 per cell]
Ho  0.3333  0.6667  0.7655 [1 per cell]
Th  0.0000  0.0000  0.6578 [1 per cell]
Th  0.0000  0.0000  0.8721 [1 per cell]

Calculated values
* ΔH_f (0 K): 0.718 eV per formula unit
* offset from the most stable computed form: 0 meV per atom

A relaxed structure of NdHo2Th6, computed with PBE.

abc: 11.712 7.066 9.230
angles: 90.00 126.34 90.00
Space group C2/m (No. 12)
Asymmetric unit:
Nd  0.000  0.000  0.000 [2 per cell]
Ho  0.205  0.500  0.123 [4 per cell]
Th  0.074  0.239  0.352 [8 per cell]
Th  0.172  0.500  0.703 [4 per cell]

Calculated values
* ΔH_f (0 K): 2.717 eV per formula unit

A relaxed structure of Nd12Ho5Th2, computed with PBE.

abc: 15.859 9.430 8.798
angles: 90.00 92.01 90.00
Space group C2/m (No. 12)
Asymmetric unit:
Nd  0.062  0.000  0.342 [4 per cell]
Nd  0.076  0.500  0.881 [4 per cell]
Nd  0.130  0.198  0.683 [8 per cell]
Nd  0.149  0.320  0.238 [8 per cell]
Ho  0.000  0.500  0.500 [2 per cell]
Ho  0.205  0.000  0.037 [4 per cell]
Ho  0.232  0.500  0.566 [4 per cell]
Th  0.000  0.165  0.000 [4 per cell]

Calculated values
* ΔH_f (0 K): 2.743 eV per formula unit

A relaxed structure of Nd12Ho5Th, computed with PBE.

abc: 15.405 15.433 5.144
angles: 90.00 90.00 90.00
Space group Cmmm (No. 65)
Asymmetric unit:
Nd  0.000  0.163  0.000 [4 per cell]
Nd  0.000  0.337  0.500 [4 per cell]
Nd  0.166  0.164  0.500 [8 per cell]
Nd  0.166  0.336  0.000 [8 per cell]
Ho  0.000  0.000  0.500 [2 per cell]
Ho  0.164  0.500  0.500 [4 per cell]
Ho  0.167  0.000  0.000 [4 per cell]
Th  0.000  0.500  0.000 [2 per cell]

Calculated values
* ΔH_f (0 K): 0.473 eV per formula unit

A relaxed structure of NdHo2Th, computed with PBE.

abc: 3.539 6.833 11.142
angles: 90.59 90.05 104.96
Space group P-1 (No. 2)
Asymmetric unit:
Nd  0.130  0.259  0.486 [2 per cell]
Ho  0.255  0.512  0.756 [2 per cell]
Ho  0.478  0.957  0.244 [2 per cell]
Th  0.128  0.254  0.013 [2 per cell]

Calculated values
* ΔH_f (0 K): 0.154 eV per formula unit
* offset from the most stable computed form: 25 meV per atom

A relaxed structure of Nd4Ho15Th, computed with PBE.

abc: 5.043 5.043 25.062
angles: 90.00 90.00 90.00
Space group P4/mmm (No. 123)
Asymmetric unit:
Nd  0.000  0.000  0.100 [2 per cell]
Nd  0.000  0.000  0.301 [2 per cell]
Ho  0.000  0.500  0.000 [2 per cell]
Ho  0.000  0.500  0.201 [4 per cell]
Ho  0.000  0.500  0.402 [4 per cell]
Ho  0.500  0.500  0.101 [2 per cell]
Ho  0.500  0.500  0.301 [2 per cell]
Ho  0.500  0.500  0.500 [1 per cell]
Th  0.000  0.000  0.500 [1 per cell]

Calculated values
* ΔH_f (0 K): 0.464 eV per formula unit

A relaxed structure of Nd5Ho3Th, computed with PBE.

abc: 7.928 7.928 19.760
angles: 90.00 90.00 90.00
Space group I4/mcm (No. 140)
Asymmetric unit:
Nd  0.000  0.000  0.000 [4 per cell]
Nd  0.206  0.294  0.133 [16 per cell]
Ho  0.000  0.000  0.250 [4 per cell]
Ho  0.131  0.369  0.500 [8 per cell]
Th  0.000  0.500  0.250 [4 per cell]

Calculated values
* ΔH_f (0 K): 2.796 eV per formula unit